A relaxed structure of ScAgOs, computed with PBE.

Cell and atoms, written as CIF:
```
data_ScAgOs
_symmetry_space_group_name_H-M 'P 1'
_symmetry_Int_Tables_number 1
_cell_length_a 3.2732
_cell_length_b 3.2732
_cell_length_c 9.5798
_cell_angle_alpha 90.00
_cell_angle_beta 90.00
_cell_angle_gamma 90.00
loop_
_symmetry_equiv_pos_as_xyz
'x,y,z'
loop_
_atom_site_label
_atom_site_fract_x
_atom_site_fract_y
_atom_site_fract_z
Sc1 0.2500 0.2500 0.2412
Sc2 0.7500 0.7500 0.7588
Ag1 0.2500 0.2500 0.5825
Ag2 0.7500 0.7500 0.4175
Os1 0.2500 0.2500 0.9214
Os2 0.7500 0.7500 0.0786
```

Values from the calculation:
- Spin magnetization: 0.003 μB/cell
- Excess energy over the best structure of this formula in the dataset: 0 meV/atom
- E_form: -0.03 eV per atom
- E_tot: -6.826 eV/atom

A relaxed structure of Sc2AgOs, computed with PBE.

Cell and atoms, written as CIF:
```
data_Sc2AgOs
_symmetry_space_group_name_H-M 'P 1'
_symmetry_Int_Tables_number 1
_cell_length_a 4.6471
_cell_length_b 4.6471
_cell_length_c 3.3259
_cell_angle_alpha 90.00
_cell_angle_beta 90.00
_cell_angle_gamma 90.00
loop_
_symmetry_equiv_pos_as_xyz
'x,y,z'
loop_
_atom_site_label
_atom_site_fract_x
_atom_site_fract_y
_atom_site_fract_z
Sc1 0.0000 0.5000 0.0000
Sc2 0.5000 0.0000 0.0000
Ag1 0.0000 0.0000 0.5000
Os1 0.5000 0.5000 0.5000
```

Values from the calculation:
- Spin magnetization: 0.001 μB/cell
- Excess energy over the best structure of this formula in the dataset: 105 meV/atom
- E_form: -0.35 eV per atom
- E_tot: -7.026 eV/atom

A relaxed structure of ScAgOs, computed with PBE.

Cell and atoms, written as CIF:
```
data_ScAgOs
_symmetry_space_group_name_H-M 'P 1'
_symmetry_Int_Tables_number 1
_cell_length_a 3.4360
_cell_length_b 3.4360
_cell_length_c 8.8086
_cell_angle_alpha 90.00
_cell_angle_beta 90.00
_cell_angle_gamma 90.00
loop_
_symmetry_equiv_pos_as_xyz
'x,y,z'
loop_
_atom_site_label
_atom_site_fract_x
_atom_site_fract_y
_atom_site_fract_z
Sc1 0.0000 0.0000 0.0000
Sc2 0.5000 0.5000 0.5000
Ag1 0.0000 0.0000 0.3279
Ag2 0.0000 0.0000 0.6721
Os1 0.5000 0.5000 0.1513
Os2 0.5000 0.5000 0.8487
```

Values from the calculation:
- Spin magnetization: 0.018 μB/cell
- Excess energy over the best structure of this formula in the dataset: 238 meV/atom
- E_form: 0.20 eV per atom
- E_tot: -6.588 eV/atom

A relaxed structure of ScAgOs, computed with PBE.

Cell and atoms, written as CIF:
```
data_ScAgOs
_symmetry_space_group_name_H-M 'P 1'
_symmetry_Int_Tables_number 1
_cell_length_a 5.2571
_cell_length_b 5.2571
_cell_length_c 5.2571
_cell_angle_alpha 143.09
_cell_angle_beta 143.09
_cell_angle_gamma 53.19
loop_
_symmetry_equiv_pos_as_xyz
'x,y,z'
loop_
_atom_site_label
_atom_site_fract_x
_atom_site_fract_y
_atom_site_fract_z
Sc1 0.0000 0.0000 0.0000
Ag1 0.3171 0.3171 0.0000
Os1 0.6446 0.6446 0.0000
```

Values from the calculation:
- Spin magnetization: 0.001 μB/cell
- Excess energy over the best structure of this formula in the dataset: 174 meV/atom
- E_form: 0.14 eV per atom
- E_tot: -6.652 eV/atom

A relaxed structure of Sc2AgOs, computed with PBE.

Cell and atoms, written as CIF:
```
data_Sc2AgOs
_symmetry_space_group_name_H-M 'P 1'
_symmetry_Int_Tables_number 1
_cell_length_a 7.2558
_cell_length_b 7.1021
_cell_length_c 6.2700
_cell_angle_alpha 90.00
_cell_angle_beta 90.00
_cell_angle_gamma 90.00
loop_
_symmetry_equiv_pos_as_xyz
'x,y,z'
loop_
_atom_site_label
_atom_site_fract_x
_atom_site_fract_y
_atom_site_fract_z
Sc1 0.1746 0.0171 0.1695
Sc2 0.1746 0.4829 0.1695
Sc3 0.3254 0.5171 0.6695
Sc4 0.3254 0.9829 0.6695
Sc5 0.6746 0.0171 0.3305
Sc6 0.6746 0.4829 0.3305
Sc7 0.8254 0.5171 0.8305
Sc8 0.8254 0.9829 0.8305
Ag1 0.0076 0.2500 0.5422
Ag2 0.4924 0.7500 0.0422
Ag3 0.5076 0.2500 0.9578
Ag4 0.9924 0.7500 0.4578
Os1 0.1101 0.7500 0.8856
Os2 0.3899 0.2500 0.3856
Os3 0.6101 0.7500 0.6144
Os4 0.8899 0.2500 0.1144
```

Values from the calculation:
- Spin magnetization: 0.012 μB/cell
- Excess energy over the best structure of this formula in the dataset: 343 meV/atom
- E_form: -0.11 eV per atom
- E_tot: -6.787 eV/atom

A relaxed structure of Sc2Ag3Os, computed with PBE.

Cell and atoms, written as CIF:
```
data_Sc2Ag3Os
_symmetry_space_group_name_H-M 'P 1'
_symmetry_Int_Tables_number 1
_cell_length_a 3.4636
_cell_length_b 3.4636
_cell_length_c 8.9394
_cell_angle_alpha 90.00
_cell_angle_beta 90.00
_cell_angle_gamma 90.00
loop_
_symmetry_equiv_pos_as_xyz
'x,y,z'
loop_
_atom_site_label
_atom_site_fract_x
_atom_site_fract_y
_atom_site_fract_z
Sc1 0.0000 0.0000 0.0000
Sc2 0.5000 0.5000 0.4694
Ag1 0.0000 0.0000 0.3167
Ag2 0.0000 0.0000 0.6466
Ag3 0.5000 0.5000 0.8102
Os1 0.5000 0.5000 0.1473
```

Values from the calculation:
- Spin magnetization: 0.006 μB/cell
- E_form: -0.09 eV per atom
- E_tot: -5.478 eV/atom